# 1
Below is an optimized crystal structure of TbHo4TlS8, with properties calculated at the PBE-GGA level.

The space group is R3m (No. 160, hexagonal axes) and the conventional cell measures 8.1715, 8.1715 and 20.1601 Å, with angles of 90.00, 90.00 and 120.00 degrees. The asymmetric unit holds Tb at (0.0000, 0.0000, 0.0000), Ho at (0.0000, 0.0000, 0.3789), Ho at (0.0108, 0.5054, 0.5056), Tl at (0.0000, 0.0000, 0.6303), S at (0.0000, 0.0000, 0.2468), S at (0.0000, 0.0000, 0.7715), S at (0.0186, 0.5093, 0.7571) and S at (0.1881, 0.3762, 0.5811).

As for the raw formation energy: -1.8153 eV per atom.

---

# 2
Below is an optimized crystal structure of Nd12Mg3H5, with properties calculated at the PBE-GGA level.

The space group is Ia-3d (No. 230) and the conventional cell measures 16.2191, 16.2191 and 16.2191 Å, with angles of 90.00, 90.00 and 90.00 degrees. The asymmetric unit holds Nd at (0.0434, 0.0535, 0.6492), Mg at (0.0000, 0.2500, 0.1250), H at (0.0000, 0.0000, 0.0000) and H at (0.0000, 0.2500, 0.3750).

The total energy is -4.03 eV per atom.

---

# 3
Below is an optimized crystal structure of BaSr, with properties calculated at the PBE-GGA level.

The space group is Cmme (No. 67) and the conventional cell measures 4.9460, 6.8602 and 13.7277 Å, with angles of 90.00, 90.00 and 90.00 degrees. The asymmetric unit holds Ba at (0.0000, 0.2500, 0.1289) and Sr at (0.0000, 0.2500, 0.6212).

The energy above the lowest structure with this stoichiometry comes out at 0.004 eV/atom. The calculated formation energy comes out at 4.1 meV per atom.

---

# 4
Below is an optimized crystal structure of ZnInAs2W, with properties calculated at the PBE-GGA level.

The space group is P4/mmm (No. 123) and the conventional cell measures 5.1458, 5.1458 and 5.3510 Å, with angles of 90.00, 90.00 and 90.00 degrees. The asymmetric unit holds Zn at (0.0000, 0.0000, 0.0000), In at (0.5000, 0.5000, 0.5000), As at (0.0000, 0.5000, 0.5000) and W at (0.5000, 0.5000, 0.0000).

The calculated formation energy comes out at 1774.1 meV per atom.

---

# 5
Below is an optimized crystal structure of ErPuTh2Bi5, with properties calculated at the PBE-GGA level.

The space group is P4/mmm (No. 123) and the conventional cell measures 5.4080, 5.4080 and 11.7836 Å, with angles of 90.00, 90.00 and 90.00 degrees. The asymmetric unit holds Er at (0.0000, 0.0000, 0.0000), Pu at (0.0000, 0.0000, 0.5000), Th at (0.5000, 0.5000, 0.1990), Bi at (0.0000, 0.0000, 0.2497), Bi at (0.0000, 0.5000, 0.0000) and Bi at (0.5000, 0.5000, 0.5000).

The calculated formation energy comes out at 123.9 meV per atom.

---

# 6
Below is an optimized crystal structure of Li2La2Sb2S, with properties calculated at the PBE-GGA level.

The space group is I4/mmm (No. 139) and the conventional cell measures 4.6708, 4.6708 and 17.4679 Å, with angles of 90.00, 90.00 and 90.00 degrees. The asymmetric unit holds Li at (0.0000, 0.5000, 0.0000), La at (0.0000, 0.0000, 0.1627), Sb at (0.0000, 0.0000, 0.3543) and S at (0.0000, 0.0000, 0.0000).

As for the raw formation energy: -1.2374 eV per atom.

---

# 7
Below is an optimized crystal structure of ScTlCd, with properties calculated at the PBE-GGA level.

The space group is Pm (No. 6) and the conventional cell measures 4.4501, 4.4790 and 7.3264 Å, with angles of 90.00, 107.58 and 90.00 degrees. The asymmetric unit holds Sc at (0.0000, 0.0000, 0.0000), Sc at (0.3187, 0.0000, 0.6382), Tl at (0.6545, 0.0000, 0.3110), Tl at (0.8386, 0.5000, 0.6764), Cd at (0.1565, 0.5000, 0.3152) and Cd at (0.4901, 0.5000, 0.9807).

The calculated formation energy comes out at -185.2 meV per atom.

---

# 8
Below is an optimized crystal structure of YZn4Sb, with properties calculated at the PBE-GGA level.

The space group is F-43m (No. 216) and the conventional cell measures 7.7747, 7.7747 and 7.7747 Å, with angles of 90.00, 90.00 and 90.00 degrees. The asymmetric unit holds Y at (0.0000, 0.0000, 0.0000), Zn at (0.1261, 0.1261, 0.6261) and Sb at (0.2500, 0.2500, 0.2500).

As for the raw formation energy: -0.1362 eV per atom.

---

# 9
Below is an optimized crystal structure of TmNpAgS4, with properties calculated at the PBE-GGA level.

The space group is Imma (No. 74) and the conventional cell measures 7.8217, 8.0417 and 11.1286 Å, with angles of 90.00, 90.00 and 90.00 degrees. The asymmetric unit holds Tm at (0.2500, 0.2500, 0.2500), Np at (0.0000, 0.0000, 0.0000), Ag at (0.0000, 0.2500, 0.6322), S at (0.0000, 0.0187, 0.2406) and S at (0.2311, 0.2500, 0.0068).

As for the raw formation energy: -1.2996 eV per atom.

---

# 10
Below is an optimized crystal structure of Na2ScInS4, with properties calculated at the PBE-GGA level.

The space group is P2/m (No. 10) and the conventional cell measures 6.6329, 3.7992 and 7.0410 Å, with angles of 90.00, 108.55 and 90.00 degrees. The asymmetric unit holds Na at (0.0000, 0.0000, 0.0000), Na at (0.5000, 0.5000, 0.0000), Sc at (0.0000, 0.5000, 0.5000), In at (0.5000, 0.0000, 0.5000), S at (0.2318, 0.0000, 0.7188) and S at (0.2582, 0.5000, 0.2819).

As for the raw formation energy: -1.2877 eV per atom.

---

# 11
Below is an optimized crystal structure of YZn2Cr, with properties calculated at the PBE-GGA level.

The space group is R-3m (No. 166, hexagonal axes) and the conventional cell measures 3.3187, 3.3187 and 25.6669 Å, with angles of 90.00, 90.00 and 120.00 degrees. The asymmetric unit holds Y at (0.0000, 0.0000, 0.0000), Zn at (0.0000, 0.0000, 0.2399) and Cr at (0.0000, 0.0000, 0.5000).

The energy above the lowest structure with this stoichiometry comes out at 0.290 eV/atom. The calculated formation energy comes out at 301.0 meV per atom.

---

# 12
Below is an optimized crystal structure of Cd3H2CSeO8, with properties calculated at the PBE-GGA level.

The space group is Pnma (No. 62) and the conventional cell measures 6.6790, 10.6313 and 10.6138 Å, with angles of 90.00, 90.00 and 90.00 degrees. The asymmetric unit holds Cd at (0.0313, 0.0465, 0.1665), Cd at (0.2493, 0.7500, 0.3748), H at (0.1425, 0.5068, 0.4017), C at (0.1232, 0.7500, 0.6460), Se at (0.2458, 0.7500, 0.0264), O at (0.0460, 0.7500, 0.7592), O at (0.0709, 0.6289, 0.0397), O at (0.1229, 0.2500, 0.6651), O at (0.1596, 0.6442, 0.5893) and O at (0.2110, 0.5358, 0.3258).

The total energy is -5.25 eV per atom.